Record 1
## RbCuPCl2 (PBE)

Data for an optimized crystal structure of RbCuPCl2.

* V: 232.6 Å³/f.u.
* E_form (uncorrected): 338 kJ/mol of formula units
* theoretical density: 1.79 g cm⁻³
* ΔE to the lowest computed polymorph: 1148.5 meV/atom
* symmetry: P4/mmm (123)

Lattice parameters (Å, degrees): 6.108 6.108 6.236 90.00 90.00 90.00
Last column: magnetic moment on the atom in μB.
Fractional positions:
Cu (0.500, 0.500, 0.500)  0.00
Cl (0.500, 0.000, 0.000)  0.11
Cl (0.000, 0.500, 0.000)  0.11
Rb (0.000, 0.000, 0.000)  0.04
P (0.000, 0.000, 0.500)  1.17

Record 2
## CsFeCl5 (PBE)

Data for an optimized crystal structure of CsFeCl5.

* V: 213.7 Å³/f.u.
* E_form (uncorrected): -668 kJ/mol of formula units
* theoretical density: 2.84 g cm⁻³
* symmetry: C2/c (15)

Lattice parameters (Å, degrees): 7.204 7.098 10.432 86.26 69.80 59.51
Last column: magnetic moment on the atom in μB.
Fractional positions:
Cl (0.288, 0.787, 0.071)  0.09
Cl (0.213, 0.714, 0.429)  0.09
Cl (0.787, 0.286, 0.571)  0.09
Cl (0.750, 0.250, 0.250)  0.18
Cl (0.712, 0.213, 0.929)  0.09
Cl (0.855, 0.786, 0.071)  0.09
Cl (0.646, 0.713, 0.429)  0.09
Fe (0.000, 0.000, 0.000)  3.16
Cs (0.250, 0.250, 0.250)  0.01
Cl (0.145, 0.214, 0.929)  0.09
Fe (0.500, 0.500, 0.500)  3.16
Cs (0.750, 0.750, 0.750)  0.01
Cl (0.250, 0.750, 0.750)  0.18
Cl (0.354, 0.287, 0.571)  0.09

Record 3
## Li2In2Ru (PBE)

Data for an optimized crystal structure of Li2In2Ru.

* V: 85.7 Å³/f.u.
* theoretical density: 6.68 g cm⁻³
* ΔE to the lowest computed polymorph: 17.8 meV/atom
* symmetry: P4/mbm (127)
* formation energy from the elements: 0.10 eV/atom

Lattice parameters (Å, degrees): 7.468 7.468 3.074 90.00 90.00 90.00
Last column: magnetic moment on the atom in μB.
Fractional positions:
In (0.349, 0.849, 0.000)  -0.01
Ru (0.000, 0.000, 0.000)  1.04
Li (0.152, 0.652, 0.500)  -0.01
Li (0.348, 0.152, 0.500)  0.00
Li (0.848, 0.348, 0.500)  -0.01
Ru (0.500, 0.500, 0.000)  1.04
Li (0.652, 0.848, 0.500)  0.00
In (0.651, 0.151, 0.000)  -0.01
In (0.849, 0.651, 0.000)  0.00
In (0.151, 0.349, 0.000)  0.00

Record 4
## Pr2ZrTe4 (PBE)

Data for an optimized crystal structure of Pr2ZrTe4.

* V: 234.3 Å³/f.u.
* E_form (uncorrected): -734 kJ/mol of formula units
* theoretical density: 6.26 g cm⁻³
* symmetry: Cmcm (63)

Lattice parameters (Å, degrees): 4.186 7.790 14.922 90.00 90.00 105.58
Fractional positions:
Te (0.214, 0.429, 0.876)
Te (0.786, 0.571, 0.376)
Te (0.500, 0.000, 0.000)
Te (0.786, 0.571, 0.124)
Te (0.999, 0.997, 0.250)
Te (0.214, 0.429, 0.624)
Pr (0.130, 0.260, 0.083)
Pr (0.870, 0.740, 0.917)
Zr (0.353, 0.705, 0.250)
Pr (0.130, 0.260, 0.417)
Zr (0.647, 0.295, 0.750)
Te (0.001, 0.003, 0.750)
Te (0.500, 0.000, 0.500)
Pr (0.870, 0.740, 0.583)

Record 5
## Mn8FeH6 (PBE)

Data for an optimized crystal structure of Mn8FeH6.

* V: 107.6 Å³/f.u.
* theoretical density: 7.74 g cm⁻³
* symmetry: R-3 (148)
* total DFT energy (no corrections): -101.90 eV per formula unit

Lattice parameters (Å, degrees): 4.437 4.437 6.812 70.99 70.99 60.00
Last column: magnetic moment on the atom in μB.
Fractional positions:
Mn (0.219, 0.550, 0.348)  -0.15
Mn (0.550, 0.883, 0.348)  -0.15
Fe (0.000, 0.000, 0.000)  0.75
H (0.275, 0.944, 0.169)  0.00
Mn (0.450, 0.117, 0.652)  -0.15
Mn (0.883, 0.219, 0.348)  -0.15
Mn (0.117, 0.781, 0.652)  -0.15
H (0.725, 0.056, 0.831)  0.00
H (0.944, 0.611, 0.169)  0.00
H (0.056, 0.389, 0.831)  0.00
Mn (0.334, 0.334, 0.999)  0.82
Mn (0.666, 0.666, 0.001)  0.82
H (0.611, 0.275, 0.169)  0.00
Mn (0.781, 0.450, 0.652)  -0.15
H (0.389, 0.725, 0.831)  0.00

Record 6
## Cr2HgSe (PBE)

Data for an optimized crystal structure of Cr2HgSe.

* V: 70.2 Å³/f.u.
* E_form (uncorrected): 83 kJ/mol of formula units
* theoretical density: 9.07 g cm⁻³
* ΔE to the lowest computed polymorph: 0.0 meV/atom
* symmetry: P4mm (99)

Lattice parameters (Å, degrees): 3.028 3.028 7.662 90.00 90.00 90.00
Fractional positions:
Cr (0.000, 0.000, 0.031)
Hg (0.000, 0.000, 0.433)
Se (0.500, 0.500, 0.851)
Cr (0.500, 0.500, 0.184)

Record 7
## KCoAs2Se (PBE)

Data for an optimized crystal structure of KCoAs2Se.

* V: 113.8 Å³/f.u.
* E_form (uncorrected): -23 kJ/mol of formula units
* theoretical density: 4.77 g cm⁻³
* ΔE to the lowest computed polymorph: 0.0 meV/atom
* symmetry: P4/mmm (123)

Lattice parameters (Å, degrees): 4.529 4.529 5.549 90.00 90.00 90.00
Fractional positions:
Se (0.000, 0.000, 0.500)
Co (0.000, 0.000, 0.000)
As (0.500, 0.000, 0.000)
K (0.500, 0.500, 0.500)
As (0.000, 0.500, 0.000)

Record 8
## CrTeOs2 (PBE)

Data for an optimized crystal structure of CrTeOs2.

* V: 66.5 Å³/f.u.
* E_form (uncorrected): 221 kJ/mol of formula units
* theoretical density: 13.99 g cm⁻³
* symmetry: Amm2 (38)

Lattice parameters (Å, degrees): 3.875 2.914 6.066 76.07 90.00 90.00
Last column: magnetic moment on the atom in μB.
Fractional positions:
Os (0.000, 0.060, 0.005)  -0.03
Os (0.500, 0.468, 0.190)  0.00
Cr (0.500, 0.679, 0.768)  2.34
Te (0.000, 0.294, 0.536)  -0.04

Record 9
## Pm2GaCu4Ge3 (PBE)

Data for an optimized crystal structure of Pm2GaCu4Ge3.

* V: 176.5 Å³/f.u.
* theoretical density: 7.83 g cm⁻³
* symmetry: P-4m2 (115)
* formation energy from the elements: -0.52 eV/atom

Lattice parameters (Å, degrees): 4.159 4.159 10.205 90.00 90.00 90.00
Fractional positions:
Cu (0.500, 0.000, 0.634)
Cu (0.000, 0.500, 0.366)
Pm (0.500, 0.000, 0.245)
Cu (0.000, 0.000, 0.000)
Ge (0.000, 0.500, 0.131)
Ga (0.500, 0.500, 0.500)
Ge (0.000, 0.000, 0.500)
Pm (0.000, 0.500, 0.755)
Cu (0.500, 0.500, 0.000)
Ge (0.500, 0.000, 0.869)

Record 10
## Pr4Zn2N (PBE)

Data for an optimized crystal structure of Pr4Zn2N.

* V: 187.4 Å³/f.u.
* E_form (uncorrected): -326 kJ/mol of formula units
* theoretical density: 6.28 g cm⁻³
* ΔE to the lowest computed polymorph: 28.4 meV/atom
* symmetry: I4/mmm (139)

Lattice parameters (Å, degrees): 5.079 5.079 8.106 71.74 71.74 90.00
Fractional positions:
Pr (0.000, 0.500, 0.000)
N (0.000, 0.000, 0.000)
Pr (0.500, 0.000, 0.000)
Pr (0.826, 0.826, 0.348)
Zn (0.622, 0.622, 0.757)
Zn (0.378, 0.378, 0.243)
Pr (0.174, 0.174, 0.652)

Record 11
## LaMnIr3 (PBE)

Data for an optimized crystal structure of LaMnIr3.

* V: 119.7 Å³/f.u.
* theoretical density: 10.69 g cm⁻³
* ΔE to the lowest computed polymorph: 1655.6 meV/atom
* symmetry: Pm-3m (221)
* formation energy from the elements: 1.93 eV/atom

Lattice parameters (Å, degrees): 4.929 4.929 4.929 90.00 90.00 90.00
Last column: magnetic moment on the atom in μB.
Fractional positions:
Ir (0.500, 0.000, 0.000)  -0.16
Mn (0.500, 0.500, 0.500)  -4.38
La (0.000, 0.000, 0.000)  -0.01
Ir (0.000, 0.500, 0.000)  -0.10
Ir (0.000, 0.000, 0.500)  -0.04

Record 12
## HgBr2Cl8 (PBE)

Data for an optimized crystal structure of HgBr2Cl8.

* V: 411.3 Å³/f.u.
* E_form (uncorrected): 15 kJ/mol of formula units
* theoretical density: 2.60 g cm⁻³
* symmetry: C2/c (15)

Lattice parameters (Å, degrees): 7.281 9.084 14.755 67.80 75.72 66.37
Fractional positions:
Cl (0.302, 0.778, 0.635)
Cl (0.668, 0.960, 0.186)
Br (0.603, 0.817, 0.546)
Br (0.967, 0.683, 0.954)
Hg (0.969, 0.750, 0.250)
Br (0.397, 0.183, 0.454)
Br (0.033, 0.317, 0.046)
Cl (0.814, 0.540, 0.314)
Cl (0.720, 0.454, 0.690)
Cl (0.136, 0.954, 0.190)
Cl (0.698, 0.222, 0.365)
Cl (0.285, 0.278, 0.135)
Cl (0.212, 0.659, 0.037)
Hg (0.031, 0.250, 0.750)
Cl (0.280, 0.546, 0.310)
Cl (0.788, 0.341, 0.963)
Cl (0.332, 0.040, 0.814)
Cl (0.864, 0.046, 0.810)
Cl (0.909, 0.841, 0.463)
Cl (0.091, 0.159, 0.537)
Cl (0.186, 0.460, 0.686)
Cl (0.715, 0.722, 0.865)

Copy entry 4 word for word.
## Pr2ZrTe4 (PBE)

Data for an optimized crystal structure of Pr2ZrTe4.

* V: 234.3 Å³/f.u.
* E_form (uncorrected): -734 kJ/mol of formula units
* theoretical density: 6.26 g cm⁻³
* symmetry: Cmcm (63)

Lattice parameters (Å, degrees): 4.186 7.790 14.922 90.00 90.00 105.58
Fractional positions:
Te (0.214, 0.429, 0.876)
Te (0.786, 0.571, 0.376)
Te (0.500, 0.000, 0.000)
Te (0.786, 0.571, 0.124)
Te (0.999, 0.997, 0.250)
Te (0.214, 0.429, 0.624)
Pr (0.130, 0.260, 0.083)
Pr (0.870, 0.740, 0.917)
Zr (0.353, 0.705, 0.250)
Pr (0.130, 0.260, 0.417)
Zr (0.647, 0.295, 0.750)
Te (0.001, 0.003, 0.750)
Te (0.500, 0.000, 0.500)
Pr (0.870, 0.740, 0.583)

Q: V of number 8 (CrTeOs2)?
A: 66.5 Å³/f.u.